Below is a relaxed Pr7Dy2Mg2 crystal, with properties calculated at the GGA-PBE level.

abc: 10.885 11.714 6.210
angles: 90.00 111.83 90.00
Space group C2/m (No. 12)
Inequivalent atoms, fractional coordinates:
Pr (0.000, 0.000, 0.000) x2
Pr (0.079, 0.500, 0.797) x4
Pr (0.180, 0.241, 0.191) x8
Dy (0.207, 0.000, 0.589) x4
Mg (0.000, 0.223, 0.500) x4

Summary:
For the total energy, the calculation gives -89.37 eV per cell. For the polymorph energy (0 for the lowest one), the calculation gives 50 meV/atom. Its formation energy is 0.11 eV per atom.

Below is a relaxed AcEr2Zn3 crystal, with properties calculated at the GGA-PBE level.

abc: 3.664 3.664 10.960
angles: 90.00 90.00 90.00
Space group P4/mmm (No. 123)
Inequivalent atoms, fractional coordinates:
Ac (0.000, 0.000, 0.000) x1
Er (0.000, 0.000, 0.344) x2
Zn (0.500, 0.500, 0.200) x2
Zn (0.500, 0.500, 0.500) x1

Summary:
For the total energy, the calculation gives -18.77 eV per cell. Its formation energy is -0.28 eV per atom.

Below is a relaxed DyTm4S7 crystal, with properties calculated at the GGA-PBE level.

abc: 12.709 3.761 11.509
angles: 90.00 104.43 90.00
Space group Cm (No. 8)
Inequivalent atoms, fractional coordinates:
Dy (0.000, 0.000, 0.000) x2
Tm (0.112, 0.000, 0.422) x2
Tm (0.224, 0.000, 0.841) x2
Tm (0.312, 0.500, 0.235) x2
Tm (0.412, 0.000, 0.608) x2
S (0.070, 0.000, 0.636) x2
S (0.113, 0.500, 0.919) x2
S (0.155, 0.000, 0.208) x2
S (0.271, 0.500, 0.472) x2
S (0.352, 0.500, 0.772) x2
S (0.368, 0.000, 0.069) x2
S (0.454, 0.000, 0.370) x2

Summary:
For the total energy, the calculation gives -152.11 eV per cell. The uncorrected formation energy comes out at -2.056 eV per atom.

Below is a relaxed Th6Ru3Se2S crystal, with properties calculated at the GGA-PBE level.

abc: 18.799 4.076 8.700
angles: 90.00 108.45 90.00
Space group C2/m (No. 12)
Inequivalent atoms, fractional coordinates:
Th (0.008, 0.000, 0.235) x4
Th (0.158, 0.500, 0.105) x4
Th (0.172, 0.500, 0.563) x4
Ru (0.000, 0.500, 0.000) x2
Ru (0.167, 0.000, 0.336) x4
Se (0.167, 0.000, 0.835) x4
S (0.000, 0.500, 0.500) x2

Summary:
For the total energy, the calculation gives -192.88 eV per cell. The uncorrected formation energy comes out at -1.083 eV per atom.

Below is a relaxed LaCu2Pd4 crystal, with properties calculated at the GGA-PBE level.

abc: 8.591 6.647 5.285
angles: 90.00 127.68 90.00
Space group C2/m (No. 12)
Inequivalent atoms, fractional coordinates:
La (0.000, 0.000, 0.000) x2
Cu (0.000, 0.500, 0.248) x4
Pd (0.201, 0.204, 0.701) x8

Summary:
For the total energy, the calculation gives -73.96 eV per cell. For the polymorph energy (0 for the lowest one), the calculation gives 0 meV/atom. Its formation energy is -0.44 eV per atom.

Below is a relaxed PuScAlHg crystal, with properties calculated at the GGA-PBE level.

abc: 7.186 7.186 7.186
angles: 90.00 90.00 90.00
Space group F-43m (No. 216)
Inequivalent atoms, fractional coordinates:
Pu (0.000, 0.000, 0.000) x4
Sc (0.000, 0.000, 0.500) x4
Al (0.250, 0.250, 0.750) x4
Hg (0.250, 0.250, 0.250) x4

Summary:
For the total energy, the calculation gives -101.81 eV per cell. Its formation energy is -0.19 eV per atom.

Question: What is the formula in the fourth record?
Answer: Th6Ru3Se2S